*1*
# V3O5F, relaxed, DFT GGA-PBEsol
# Spin magnetization in μB/f.u.: 4.01
# Fermi-level density of states in states/eV per cell: 7.7
data_V3O5F
_chemical_formula_sum 'V6 O10 F2'
_space_group_name_H-M_alt 'P 1'
_space_group_IT_number 1
_cell_length_a 2.837
_cell_length_b 4.597
_cell_length_c 13.790
_cell_angle_alpha 92.54
_cell_angle_beta 90.00
_cell_angle_gamma 90.00
loop_
_space_group_symop_operation_xyz
'x,y,z'
loop_
_atom_site_label
_atom_site_type_symbol
_atom_site_fract_x
_atom_site_fract_y
_atom_site_fract_z
_atom_site_occupancy
O1 O 0.500 0.202 0.934 1
V1 V 0.000 0.000 0.000 1
O2 O 0.000 0.703 0.234 1
F1 F 0.500 0.801 0.733 1
O3 O 0.500 0.205 0.597 1
F2 F 0.500 0.199 0.267 1
V2 V 0.000 0.023 0.658 1
O4 O 0.000 0.297 0.766 1
O5 O 0.500 0.795 0.403 1
O6 O 0.000 0.298 0.431 1
V3 V 0.500 0.469 0.843 1
O7 O 0.000 0.700 0.898 1
V4 V 0.000 0.977 0.342 1
O8 O 0.500 0.798 0.066 1
V5 V 0.500 0.500 0.500 1
V6 V 0.500 0.531 0.157 1
O9 O 0.000 0.300 0.102 1
O10 O 0.000 0.702 0.569 1


*2*
# V3O5F, relaxed, DFT GGA-PBEsol
# Spin magnetization in μB/f.u.: 4.01
# Fermi-level density of states in states/eV per cell: 7.7
data_V3O5F
_chemical_formula_sum 'V6 O10 F2'
_space_group_name_H-M_alt 'P 1'
_space_group_IT_number 1
_cell_length_a 2.843
_cell_length_b 6.456
_cell_length_c 10.266
_cell_angle_alpha 108.31
_cell_angle_beta 90.00
_cell_angle_gamma 90.00
loop_
_space_group_symop_operation_xyz
'x,y,z'
loop_
_atom_site_label
_atom_site_type_symbol
_atom_site_fract_x
_atom_site_fract_y
_atom_site_fract_z
_atom_site_occupancy
F1 F 0.500 0.933 0.867 1
O1 O 0.500 0.264 0.534 1
V1 V 0.500 0.822 0.646 1
V2 V 0.000 0.649 0.324 1
O2 O 0.000 0.372 0.336 1
O3 O 0.500 0.069 0.143 1
O4 O 0.000 0.030 0.668 1
O5 O 0.000 0.703 0.999 1
O6 O 0.500 0.603 0.196 1
V3 V 0.500 0.190 0.343 1
O7 O 0.500 0.400 0.800 1
V4 V 0.000 0.331 0.669 1
V5 V 0.500 0.496 0.994 1
F2 F 0.000 0.966 0.335 1
V6 V 0.000 0.006 0.018 1
O8 O 0.500 0.737 0.461 1
O9 O 0.000 0.633 0.664 1
O10 O 0.000 0.296 0.001 1


*3*
# V3O5F, relaxed, DFT GGA-PBEsol
# Spin magnetization in μB/f.u.: 4.01
# Fermi-level density of states in states/eV per cell: 8.8
data_V3O5F
_chemical_formula_sum 'V6 O10 F2'
_space_group_name_H-M_alt 'P 1'
_space_group_IT_number 1
_cell_length_a 4.555
_cell_length_b 5.372
_cell_length_c 7.365
_cell_angle_alpha 83.86
_cell_angle_beta 88.51
_cell_angle_gamma 88.55
loop_
_space_group_symop_operation_xyz
'x,y,z'
loop_
_atom_site_label
_atom_site_type_symbol
_atom_site_fract_x
_atom_site_fract_y
_atom_site_fract_z
_atom_site_occupancy
O1 O 0.194 0.961 0.735 1
O2 O 0.206 0.632 0.071 1
O3 O 0.296 0.133 0.068 1
V1 V 0.500 0.500 0.500 1
V2 V 0.973 0.329 0.142 1
O4 O 0.698 0.197 0.597 1
V3 V 0.511 0.841 0.171 1
V4 V 0.489 0.159 0.829 1
F1 F 0.199 0.305 0.396 1
O5 O 0.794 0.368 0.929 1
O6 O 0.806 0.039 0.265 1
O7 O 0.302 0.803 0.403 1
F2 F 0.801 0.695 0.604 1
V5 V 0.000 0.000 0.500 1
O8 O 0.704 0.867 0.932 1
O9 O 0.296 0.469 0.730 1
V6 V 0.027 0.671 0.858 1
O10 O 0.704 0.531 0.270 1


Relative energies, in meV per atom, with the most stable structure set to zero: *1* 0; *2* 14; *3* 29.


*1*
# V3O5F, relaxed, DFT GGA-PBEsol
# Spin magnetization in μB/f.u.: 4.02
# Fermi-level density of states in states/eV per cell: 6.8
data_V3O5F
_chemical_formula_sum 'V6 O10 F2'
_space_group_name_H-M_alt 'P 1'
_space_group_IT_number 1
_cell_length_a 4.555
_cell_length_b 5.396
_cell_length_c 7.331
_cell_angle_alpha 96.09
_cell_angle_beta 90.00
_cell_angle_gamma 90.00
loop_
_space_group_symop_operation_xyz
'x,y,z'
loop_
_atom_site_label
_atom_site_type_symbol
_atom_site_fract_x
_atom_site_fract_y
_atom_site_fract_z
_atom_site_occupancy
V1 V 0.011 0.751 0.477 1
O1 O 0.795 0.449 0.402 1
F1 F 0.300 0.215 0.270 1
V2 V 0.511 0.249 0.523 1
V3 V 0.970 0.420 0.167 1
V4 V 0.470 0.580 0.833 1
O2 O 0.295 0.551 0.598 1
O3 O 0.304 0.887 0.931 1
F2 F 0.800 0.785 0.730 1
O4 O 0.203 0.386 0.936 1
O5 O 0.205 0.714 0.261 1
O6 O 0.703 0.614 0.064 1
O7 O 0.692 0.955 0.399 1
O8 O 0.804 0.113 0.069 1
O9 O 0.705 0.286 0.739 1
O10 O 0.192 0.045 0.601 1
V5 V 0.519 0.899 0.159 1
V6 V 0.019 0.101 0.841 1


*2*
# V3O5F, relaxed, DFT GGA-PBEsol
# Spin magnetization in μB/f.u.: 4.02
# Fermi-level density of states in states/eV per cell: 8.6
data_V3O5F
_chemical_formula_sum 'V6 O10 F2'
_space_group_name_H-M_alt 'P 1'
_space_group_IT_number 1
_cell_length_a 5.398
_cell_length_b 5.398
_cell_length_c 7.167
_cell_angle_alpha 69.64
_cell_angle_beta 69.64
_cell_angle_gamma 72.04
loop_
_space_group_symop_operation_xyz
'x,y,z'
loop_
_atom_site_label
_atom_site_type_symbol
_atom_site_fract_x
_atom_site_fract_y
_atom_site_fract_z
_atom_site_occupancy
V1 V 0.654 0.654 0.318 1
V2 V 0.004 0.004 0.511 1
V3 V 0.333 0.333 0.166 1
O1 O 0.032 0.631 0.666 1
O2 O 0.703 0.301 0.001 1
O3 O 0.773 0.773 0.033 1
O4 O 0.301 0.703 0.001 1
O5 O 0.098 0.098 0.697 1
O6 O 0.430 0.430 0.369 1
V4 V 0.676 0.676 0.850 1
F1 F 0.565 0.565 0.634 1
V5 V 0.320 0.320 0.671 1
O7 O 0.367 0.961 0.334 1
O8 O 0.631 0.032 0.666 1
V6 V 0.015 0.015 0.984 1
O9 O 0.236 0.236 0.967 1
F2 F 0.900 0.900 0.299 1
O10 O 0.961 0.367 0.334 1


Relative energies, in meV per atom, with the most stable structure set to zero: *1* 0; *2* 7.


*1*
# V3O2F6, relaxed, DFT GGA-PBEsol
# Spin magnetization in μB/f.u.: 5.00
# Fermi-level density of states in states/eV per cell: 13.1
data_V3O2F6
_chemical_formula_sum 'V6 O4 F12'
_space_group_name_H-M_alt 'P 1'
_space_group_IT_number 1
_cell_length_a 5.065
_cell_length_b 7.065
_cell_length_c 7.395
_cell_angle_alpha 101.69
_cell_angle_beta 91.35
_cell_angle_gamma 90.21
loop_
_space_group_symop_operation_xyz
'x,y,z'
loop_
_atom_site_label
_atom_site_type_symbol
_atom_site_fract_x
_atom_site_fract_y
_atom_site_fract_z
_atom_site_occupancy
F1 F 0.420 0.217 0.559 1
F2 F 0.386 0.675 0.065 1
F3 F 0.900 0.312 0.433 1
V1 V 0.750 0.315 0.688 1
V2 V 0.291 0.661 0.813 1
O1 O 0.846 0.067 0.675 1
F4 F 0.449 0.910 0.812 1
F5 F 0.030 0.194 0.108 1
V3 V 0.250 0.685 0.312 1
F6 F 0.919 0.570 0.204 1
F7 F 0.551 0.090 0.188 1
O2 O 0.596 0.570 0.706 1
O3 O 0.404 0.430 0.294 1
V4 V 0.235 0.169 0.324 1
F8 F 0.970 0.806 0.892 1
V5 V 0.765 0.831 0.676 1
F9 F 0.081 0.430 0.796 1
F10 F 0.100 0.688 0.567 1
O4 O 0.154 0.933 0.325 1
F11 F 0.614 0.325 0.935 1
F12 F 0.580 0.783 0.441 1
V6 V 0.709 0.339 0.187 1


*2*
# V3O2F6, relaxed, DFT GGA-PBEsol
# Spin magnetization in μB/f.u.: 5.00
# Fermi-level density of states in states/eV per cell: 15.8
data_V3O2F6
_chemical_formula_sum 'V6 O4 F12'
_space_group_name_H-M_alt 'P 1'
_space_group_IT_number 1
_cell_length_a 4.688
_cell_length_b 5.371
_cell_length_c 9.858
_cell_angle_alpha 95.04
_cell_angle_beta 90.00
_cell_angle_gamma 90.00
loop_
_space_group_symop_operation_xyz
'x,y,z'
loop_
_atom_site_label
_atom_site_type_symbol
_atom_site_fract_x
_atom_site_fract_y
_atom_site_fract_z
_atom_site_occupancy
F1 F 0.566 0.308 0.424 1
F2 F 0.425 0.786 0.428 1
F3 F 0.075 0.214 0.572 1
V1 V 0.232 0.268 0.754 1
O1 O 0.937 0.472 0.822 1
F4 F 0.066 0.692 0.076 1
V2 V 0.768 0.268 0.254 1
V3 V 0.750 0.500 0.000 1
O2 O 0.563 0.528 0.178 1
F5 F 0.434 0.308 0.924 1
F6 F 0.925 0.214 0.072 1
F7 F 0.934 0.692 0.576 1
V4 V 0.732 0.732 0.746 1
F8 F 0.470 0.026 0.195 1
F9 F 0.030 0.974 0.805 1
F10 F 0.970 0.974 0.305 1
F11 F 0.575 0.786 0.928 1
F12 F 0.530 0.026 0.695 1
V5 V 0.268 0.732 0.246 1
O3 O 0.437 0.528 0.678 1
O4 O 0.063 0.472 0.322 1
V6 V 0.250 0.500 0.500 1


Relative energies, in meV per atom, with the most stable structure set to zero: *1* 53; *2* 0.